Entry 1:
KLiSb: optimized geometry, GGA-PBE.

It has space group F-43m (No. 216), with a = 7.7307 Å, b = 7.7307 Å, c = 7.7307 Å, α = 90.00°, β = 90.00° and γ = 90.00°. The asymmetric unit holds K at (0.0000, 0.0000, 0.0000), Li at (0.2500, 0.2500, 0.2500) and Sb at (0.2500, 0.2500, 0.7500).

For the excess energy over the best structure of this formula in the dataset, the calculation gives 0.637 eV/atom. As for the density of states at the Fermi level: 0.923 states/eV/atom. Its formation energy from raw total energies is 0.20 eV/atom. The crystal system is cubic. As for the mass density: 2.4 g cm⁻³. The calculation puts the size of the total moment at 0.3419 μB per atom.

=====

Entry 2:
KLi2Sb: optimized geometry, GGA-PBE.

It has space group Pm (No. 6), with a = 3.6806 Å, b = 4.9566 Å, c = 7.2800 Å, α = 90.00°, β = 104.31° and γ = 90.00°. The asymmetric unit holds K at (0.0000, 0.0000, 0.0000), Li at (0.2899, 0.0000, 0.5678), Li at (0.7231, 0.5000, 0.4328) and Sb at (0.3677, 0.5000, 0.7287).

As for the density of states at the Fermi level: 0.291 states/eV/atom. Its formation energy from raw total energies is -0.28 eV/atom. The crystal system is monoclinic. As for the mass density: 2.3 g cm⁻³. The calculation puts the size of the total moment at 0.0000 μB per atom.

=====

Entry 3:
KLi2Sb2: optimized geometry, GGA-PBE.

It has space group I4/mmm (No. 139), with a = 4.8639 Å, b = 4.8639 Å, c = 11.5767 Å, α = 90.00°, β = 90.00° and γ = 90.00°. The asymmetric unit holds K at (0.0000, 0.0000, 0.0000), Li at (0.0000, 0.5000, 0.2500) and Sb at (0.0000, 0.0000, 0.3787).

For the excess energy over the best structure of this formula in the dataset, the calculation gives 0.000 eV/atom. As for the density of states at the Fermi level: 0.438 states/eV/atom. Its formation energy from raw total energies is -0.47 eV/atom. The crystal system is tetragonal. As for the mass density: 3.6 g cm⁻³. The calculation puts the size of the total moment at 0.0000 μB per atom.

=====

Entry 4:
KLi2Sb2: optimized geometry, GGA-PBE.

It has space group Fddd (No. 70, origin choice 2), with a = 5.7850 Å, b = 11.8695 Å, c = 15.9078 Å, α = 90.00°, β = 90.00° and γ = 90.00°. The asymmetric unit holds K at (0.1250, 0.1250, 0.1250), Li at (0.1250, 0.1250, 0.5197) and Sb at (0.1250, 0.3241, 0.6250).

For the excess energy over the best structure of this formula in the dataset, the calculation gives 0.051 eV/atom. As for the density of states at the Fermi level: 0.504 states/eV/atom. Its formation energy from raw total energies is -0.42 eV/atom. The crystal system is orthorhombic. As for the mass density: 3.6 g cm⁻³. The calculation puts the size of the total moment at 0.0000 μB per atom.

=====

Entry 5:
K2Li2Sb: optimized geometry, GGA-PBE.

It has space group P4/mbm (No. 127), with a = 7.4907 Å, b = 7.4907 Å, c = 5.8663 Å, α = 90.00°, β = 90.00° and γ = 90.00°. The asymmetric unit holds K at (0.1999, 0.3001, 0.0000), Li at (0.1610, 0.6610, 0.5000) and Sb at (0.0000, 0.0000, 0.5000).

For the excess energy over the best structure of this formula in the dataset, the calculation gives 0.160 eV/atom. As for the density of states at the Fermi level: 0.261 states/eV/atom. Its formation energy from raw total energies is -0.26 eV/atom. The crystal system is tetragonal. As for the mass density: 2.2 g cm⁻³. The calculation puts the size of the total moment at 0.1853 μB per atom.

=====

Entry 6:
KLiSb: optimized geometry, GGA-PBE.

It has space group I4/mmm (No. 139), with a = 4.9798 Å, b = 4.9798 Å, c = 15.6305 Å, α = 90.00°, β = 90.00° and γ = 90.00°. The asymmetric unit holds K at (0.0000, 0.0000, 0.1725), Li at (0.0000, 0.5000, 0.0000) and Sb at (0.0000, 0.0000, 0.4042).

For the excess energy over the best structure of this formula in the dataset, the calculation gives 0.000 eV/atom. As for the density of states at the Fermi level: 0.518 states/eV/atom. Its formation energy from raw total energies is -0.44 eV/atom. The crystal system is tetragonal. As for the mass density: 2.9 g cm⁻³. The calculation puts the size of the total moment at 0.0000 μB per atom.

=====

Entry 7:
KLi2Sb2: optimized geometry, GGA-PBE.

It has space group P4/mbm (No. 127), with a = 8.9337 Å, b = 8.9337 Å, c = 3.0923 Å, α = 90.00°, β = 90.00° and γ = 90.00°. The asymmetric unit holds K at (0.0000, 0.0000, 0.0000), Li at (0.1227, 0.3773, 0.0000) and Sb at (0.1663, 0.6663, 0.5000).

For the excess energy over the best structure of this formula in the dataset, the calculation gives 0.013 eV/atom. As for the density of states at the Fermi level: 0.282 states/eV/atom. Its formation energy from raw total energies is -0.46 eV/atom. The crystal system is tetragonal. As for the mass density: 4.0 g cm⁻³. The calculation puts the size of the total moment at 0.0000 μB per atom.

=====

Entry 8:
KLi2Sb: optimized geometry, GGA-PBE.

It has space group P4/mmm (No. 123), with a = 3.8368 Å, b = 3.8368 Å, c = 8.0031 Å, α = 90.00°, β = 90.00° and γ = 90.00°. The asymmetric unit holds K at (0.0000, 0.0000, 0.0000), Li at (0.5000, 0.5000, 0.3395) and Sb at (0.0000, 0.0000, 0.5000).

As for the density of states at the Fermi level: 0.506 states/eV/atom. Its formation energy from raw total energies is -0.20 eV/atom. The crystal system is tetragonal. As for the mass density: 2.5 g cm⁻³. The calculation puts the size of the total moment at 0.0004 μB per atom.

=====

Entry 9:
KLiSb: optimized geometry, GGA-PBE.

It has space group F-43m (No. 216), with a = 7.6907 Å, b = 7.6907 Å, c = 7.6907 Å, α = 90.00°, β = 90.00° and γ = 90.00°. The asymmetric unit holds K at (0.0000, 0.0000, 0.0000), Li at (0.0000, 0.0000, 0.5000) and Sb at (0.2500, 0.2500, 0.2500).

For the excess energy over the best structure of this formula in the dataset, the calculation gives 0.330 eV/atom. As for the density of states at the Fermi level: 1.049 states/eV/atom. Its formation energy from raw total energies is -0.11 eV/atom. The crystal system is cubic. As for the mass density: 2.5 g cm⁻³. The calculation puts the size of the total moment at 0.3432 μB per atom.

=====

Entry 10:
KLi2Sb: optimized geometry, GGA-PBE.

It has space group Imm2 (No. 44), with a = 4.9953 Å, b = 5.9310 Å, c = 7.9533 Å, α = 90.00°, β = 90.00° and γ = 90.00°. The asymmetric unit holds K at (0.0000, 0.0000, 0.0000), Li at (0.0000, 0.0000, 0.5501), Li at (0.0000, 0.5000, 0.8337) and Sb at (0.0000, 0.5000, 0.2015).

Its formation energy from raw total energies is -0.31 eV/atom. The crystal system is orthorhombic. As for the mass density: 2.5 g cm⁻³. The calculation puts the size of the total moment at 0.0000 μB per atom.

=====

Entry 11:
K4LiSb: optimized geometry, GGA-PBE.

It has space group F-43m (No. 216), with a = 10.2675 Å, b = 10.2675 Å, c = 10.2675 Å, α = 90.00°, β = 90.00° and γ = 90.00°. The asymmetric unit holds K at (0.1232, 0.1232, 0.3768), Li at (0.0000, 0.0000, 0.0000) and Sb at (0.2500, 0.2500, 0.7500).

As for the density of states at the Fermi level: 0.408 states/eV/atom. Its formation energy from raw total energies is 0.19 eV/atom. The crystal system is cubic. As for the mass density: 1.7 g cm⁻³. The calculation puts the size of the total moment at 0.0000 μB per atom.

=====

Entry 12:
KLiSb3: optimized geometry, GGA-PBE.

It has space group Pm-3m (No. 221), with a = 5.9145 Å, b = 5.9145 Å, c = 5.9145 Å, α = 90.00°, β = 90.00° and γ = 90.00°. The asymmetric unit holds K at (0.0000, 0.0000, 0.0000), Li at (0.5000, 0.5000, 0.5000) and Sb at (0.0000, 0.0000, 0.5000).

For the excess energy over the best structure of this formula in the dataset, the calculation gives 0.970 eV/atom. As for the density of states at the Fermi level: 1.580 states/eV/atom. Its formation energy from raw total energies is 0.97 eV/atom. The crystal system is cubic. As for the mass density: 3.3 g cm⁻³. The calculation puts the size of the total moment at 0.0002 μB per atom.